Material: Nb2ZnPt
Method: DFT, PBE
State: relaxed

Computed properties:
Fermi-level density of states: 3.8 states/eV/f.u.
energy relative to the elements: 4.62 kcal/mol of atoms
magnetic moment: 0.000 Bohr magnetons per cell

a b c (Å): 2.828 2.828 30.227
angles (deg): 90.00 90.00 120.00
Fractional coordinates of all 12 atoms:
Nb  0.000  0.000  0.087
Nb  0.000  0.000  0.913
Nb  0.333  0.667  0.579
Nb  0.333  0.667  0.754
Nb  0.667  0.333  0.246
Nb  0.667  0.333  0.421
Zn  0.000  0.000  0.500
Zn  0.333  0.667  0.167
Zn  0.667  0.333  0.833
Pt  0.000  0.000  0.000
Pt  0.333  0.667  0.667
Pt  0.667  0.333  0.333